# PrNpPa2N6

An optimized crystal structure of PrNpPa2N6 (PBE, the Alexandria database).

Geometry as extended XYZ:
```
10
Lattice="3.017 1.742 4.977 -3.017 1.742 4.977 0.000 -3.483 4.977" Properties=species:S:1:pos:R:3 pbc="T T T"
Pr 0.000 0.000 0.000
Np 0.000 0.000 7.109
Pa 0.000 0.000 3.874
Pa 0.000 0.000 11.451
N -1.617 -0.196 5.544
N -1.188 -1.769 7.890
N 0.979 -1.302 5.543
N -0.938 1.913 7.890
N 0.639 1.499 5.543
N 2.126 -0.145 7.890
```

Calculated values
E_form (uncorrected)	-1377	meV/atom
SG	R3
crystal system	trigonal